Compound: Tb2Pr2Dy5
Source: the Alexandria database
Functional: GGA-PBE
Structure: optimized geometry

extended XYZ file:
```
18
Lattice="11.8582 0.0000 0.0000 0.0000 6.7548 0.0000 -5.9291 -3.3774 7.4859" Properties=species:S:1:pos:R:3 pbc="T T T"
Dy 3.1494 2.6074 2.1415
Pr 5.9412 0.3989 5.5894
Dy -2.8930 2.7700 3.7430
Dy 8.8221 -0.6073 3.7430
Dy 2.7797 -0.7700 5.3444
Pr 5.9412 0.3989 1.8965
Dy 8.8411 4.7741 0.7890
Dy 3.1494 2.6074 5.3444
Tb 0.1208 0.7107 3.7430
Pr -0.0121 3.7763 5.5894
Tb 5.9291 3.4924 0.0000
Dy -2.9120 1.3967 6.6969
Tb 0.0000 0.1151 0.0000
Dy -3.0171 -1.9807 6.6969
Dy 8.9462 1.3967 0.7890
Tb 5.8083 4.0881 3.7430
Dy 2.7797 -0.7700 2.1415
Pr -0.0121 3.7763 1.8965
```

## Properties
**Final energy**: -4.44 eV per atom
**Relative energy among the computed polymorphs**: 0 meV per atom
**SG**: Ima2
**Formation energy from the elements**: 1.87 eV/f.u.